[1]
{"formula": "NbCuICl2", "functional": "PBE", "state": "optimized geometry", "n_ef_per_ev_atom": 1.247, "e_form_raw_ev_per_atom": 1.20, "space_group": "No. 123", "total_magnetization_mub_per_fu": 3.07, "lattice": [[5.935, 0.000, 0.000], [0.000, 5.262, 0.000], [0.000, 0.000, 5.935]], "species": ["I", "Cl", "Cl", "Nb", "Cu"], "frac_coords": [[0.000, 0.000, 0.000], [0.500, 0.000, 0.000], [0.000, 0.000, 0.500], [0.000, 0.500, 0.000], [0.500, 0.500, 0.500]]}

***

[2]
{"formula": "RbB6Pt12", "functional": "PBE", "state": "optimized geometry", "n_ef_per_ev_atom": 0.403, "delta_e_f_ev_per_atom": -0.215, "space_group": "No. 166", "total_magnetization_mub_per_fu": 0.00, "lattice": [[6.937, -0.090, -0.127], [-1.807, 6.698, -0.127], [-1.807, -2.327, 6.282]], "species": ["Pt", "Pt", "Pt", "Pt", "Pt", "Pt", "Pt", "Pt", "Pt", "Pt", "Pt", "Pt", "B", "B", "B", "B", "B", "B", "Rb"], "frac_coords": [[0.474, 0.474, 0.184], [0.474, 0.184, 0.474], [0.500, 0.876, 0.124], [0.876, 0.124, 0.500], [0.184, 0.474, 0.474], [0.876, 0.500, 0.124], [0.500, 0.124, 0.876], [0.124, 0.500, 0.876], [0.526, 0.526, 0.816], [0.816, 0.526, 0.526], [0.526, 0.816, 0.526], [0.124, 0.876, 0.500], [0.217, 0.217, 0.583], [0.217, 0.583, 0.217], [0.783, 0.783, 0.417], [0.783, 0.417, 0.783], [0.583, 0.217, 0.217], [0.417, 0.783, 0.783], [0.000, 0.000, 0.000]]}

***

[3]
{"formula": "RbGaSi2O6", "functional": "PBE", "state": "optimized geometry", "n_ef_per_ev_atom": 0.000, "e_form_raw_ev_per_atom": -2.39, "space_group": "No. 15", "total_magnetization_mub_per_fu": 0.00, "lattice": [[-5.315, 0.903, 1.151], [-1.621, -5.506, 4.981], [0.290, 5.719, 4.996]], "species": ["O", "O", "O", "O", "O", "O", "O", "O", "O", "O", "O", "O", "Rb", "Rb", "Si", "Si", "Si", "Si", "Ga", "Ga"], "frac_coords": [[0.618, 0.740, 0.723], [0.949, 0.418, 0.720], [0.551, 0.280, 0.582], [0.382, 0.260, 0.277], [0.745, 0.980, 0.306], [0.051, 0.582, 0.280], [0.245, 0.306, 0.980], [0.449, 0.720, 0.418], [0.882, 0.277, 0.260], [0.755, 0.694, 0.020], [0.118, 0.723, 0.740], [0.255, 0.020, 0.694], [0.750, 0.117, 0.883], [0.250, 0.883, 0.117], [0.135, 0.363, 0.202], [0.365, 0.798, 0.637], [0.635, 0.202, 0.363], [0.865, 0.637, 0.798], [0.750, 0.733, 0.267], [0.250, 0.267, 0.733]]}

***

[4]
{"formula": "VFeS2Cl", "functional": "PBE", "state": "optimized geometry", "n_ef_per_ev_atom": 1.493, "e_form_raw_ev_per_atom": 0.14, "space_group": "No. 123", "total_magnetization_mub_per_fu": 5.24, "e_above_lowest_polymorph_mev_per_atom": 0, "lattice": [[4.597, 0.000, 0.000], [0.000, 4.597, 0.000], [0.000, 0.000, 4.746]], "species": ["Fe", "S", "S", "Cl", "V"], "frac_coords": [[0.500, 0.500, 0.500], [0.500, 0.000, 0.000], [0.000, 0.500, 0.000], [0.000, 0.000, 0.500], [0.000, 0.000, 0.000]]}

***

[5]
{"formula": "Tl4Rh", "functional": "PBE", "state": "optimized geometry", "n_ef_per_ev_atom": 0.923, "delta_e_f_ev_per_atom": 0.099, "space_group": "No. 229", "total_magnetization_mub_per_fu": 0.00, "e_above_lowest_polymorph_mev_per_atom": 55, "lattice": [[5.689, 0.000, 0.000], [-1.896, 5.364, 0.000], [-1.896, -2.682, 4.645]], "species": ["Tl", "Tl", "Tl", "Tl", "Rh"], "frac_coords": [[0.000, 0.500, 0.000], [0.500, 0.000, 0.000], [0.500, 0.500, 0.500], [0.000, 0.000, 0.500], [0.000, 0.000, 0.000]]}

***

[6]
{"formula": "Mg2HgGe", "functional": "PBE", "state": "optimized geometry", "n_ef_per_ev_atom": 0.296, "delta_e_f_ev_per_atom": -0.140, "space_group": "No. 123", "total_magnetization_mub_per_fu": 0.00, "lattice": [[-1.192, 1.715, -3.298], [-3.029, -3.359, -0.652], [-3.124, 2.360, 2.356]], "species": ["Mg", "Mg", "Hg", "Ge"], "frac_coords": [[0.000, 0.500, 0.000], [0.000, 0.000, 0.500], [0.500, 0.500, 0.500], [0.500, 0.000, 0.000]]}